First-principles (PBE) data for Pm3Nd2Mg after structural relaxation, as listed in Alexandria via LeMat-Bulk.

Summary:
Distance to the lowest polymorph of the same formula   0.000 eV/atom
DOS at the Fermi energy   8.17 states/eV/f.u.
Magnetic moment   0.0000 μB per atom

Lattice parameters (Å, degrees): 5.041 15.426 5.086 90.00 90.00 90.00
Space group Cmmm (No. 65)
Asymmetric unit:
Pm (0.000, 0.000, 0.000) x2
Pm (0.000, 0.333, 0.000) x4
Nd (0.000, 0.165, 0.500) x4
Mg (0.000, 0.500, 0.500) x2

First-principles (PBE) data for Pm4Nd6Mg after structural relaxation, as listed in Alexandria via LeMat-Bulk.

Summary:
DOS at the Fermi energy   15.77 states/eV/f.u.
Magnetic moment   0.0000 μB per atom

Lattice parameters (Å, degrees): 6.669 6.669 17.129 90.00 90.00 90.00
Space group I-42m (No. 121)
Asymmetric unit:
Pm (0.182, 0.182, 0.178) x8
Nd (0.000, 0.500, 0.000) x4
Nd (0.167, 0.167, 0.377) x8
Mg (0.000, 0.000, 0.000) x2

First-principles (PBE) data for Pm3Nd8Mg after structural relaxation, as listed in Alexandria via LeMat-Bulk.

Summary:
DOS at the Fermi energy   16.76 states/eV/f.u.
Magnetic moment   0.0000 μB per atom

Lattice parameters (Å, degrees): 3.622 9.919 12.137 72.71 81.47 89.99
Space group P1 (No. 1)
Asymmetric unit:
Pm (0.000, 0.000, 0.000) x1
Pm (0.114, 0.551, 0.771) x1
Pm (0.372, 0.744, 0.257) x1
Nd (0.237, 0.092, 0.523) x1
Nd (0.238, 0.479, 0.517) x1
Nd (0.484, 0.318, 0.032) x1
Nd (0.607, 0.871, 0.786) x1
Nd (0.626, 0.237, 0.745) x1
Nd (0.848, 0.391, 0.297) x1
Nd (0.867, 0.058, 0.268) x1
Nd (0.985, 0.641, 0.028) x1
Mg (0.738, 0.779, 0.521) x1

First-principles (PBE) data for PmNd5Mg2 after structural relaxation, as listed in Alexandria via LeMat-Bulk.

Summary:
DOS at the Fermi energy   8.91 states/eV/f.u.
Magnetic moment   0.0000 μB per atom

Lattice parameters (Å, degrees): 3.604 11.141 13.005 90.00 90.00 90.00
Space group Immm (No. 71)
Asymmetric unit:
Pm (0.000, 0.000, 0.000) x2
Nd (0.000, 0.224, 0.365) x8
Nd (0.000, 0.500, 0.000) x2
Mg (0.000, 0.500, 0.264) x4

First-principles (PBE) data for PmNd3Mg4 after structural relaxation, as listed in Alexandria via LeMat-Bulk.

Summary:
Distance to the lowest polymorph of the same formula   0.231 eV/atom
DOS at the Fermi energy   9.77 states/eV/f.u.
Magnetic moment   0.0000 μB per atom

Lattice parameters (Å, degrees): 3.394 8.579 16.920 90.00 90.00 90.00
Space group Immm (No. 71)
Asymmetric unit:
Pm (0.000, 0.000, 0.000) x2
Nd (0.000, 0.000, 0.500) x2
Nd (0.000, 0.500, 0.303) x4
Mg (0.000, 0.308, 0.137) x8

First-principles (PBE) data for Pm3Nd2Mg after structural relaxation, as listed in Alexandria via LeMat-Bulk.

Summary:
Distance to the lowest polymorph of the same formula   0.367 eV/atom
DOS at the Fermi energy   7.88 states/eV/f.u.
Magnetic moment   0.0000 μB per atom

Lattice parameters (Å, degrees): 3.479 15.240 8.302 90.00 90.00 90.00
Space group Imm2 (No. 44)
Asymmetric unit:
Pm (0.000, 0.000, 0.000) x2
Pm (0.000, 0.397, 0.818) x4
Nd (0.000, 0.259, 0.118) x4
Mg (0.000, 0.500, 0.156) x2

First-principles (PBE) data for Pm2Nd8Mg after structural relaxation, as listed in Alexandria via LeMat-Bulk.

Summary:
Distance to the lowest polymorph of the same formula   0.262 eV/atom
DOS at the Fermi energy   14.64 states/eV/f.u.
Magnetic moment   0.0000 μB per atom

Lattice parameters (Å, degrees): 12.067 11.429 6.059 90.00 103.08 90.00
Space group C2/m (No. 12)
Asymmetric unit:
Pm (0.138, 0.000, 0.490) x4
Nd (0.078, 0.500, 0.290) x4
Nd (0.107, 0.241, 0.785) x8
Nd (0.231, 0.500, 0.910) x4
Mg (0.000, 0.000, 0.000) x2

First-principles (PBE) data for PmNd2Mg6 after structural relaxation, as listed in Alexandria via LeMat-Bulk.

Summary:
DOS at the Fermi energy   5.92 states/eV/f.u.
Magnetic moment   0.0000 μB per atom

Lattice parameters (Å, degrees): 9.2169 9.2169 3.3315 90.00 90.00 120.00
Space group P6/mmm (No. 191)
Asymmetric unit:
Pm (0.0000, 0.0000, 0.0000) x1
Nd (0.3333, 0.6667, 0.0000) x2
Mg (0.0000, 0.3329, 0.5000) x6

First-principles (PBE) data for Pm3Nd4Mg after structural relaxation, as listed in Alexandria via LeMat-Bulk.

Summary:
Distance to the lowest polymorph of the same formula   0.000 eV/atom
DOS at the Fermi energy   10.16 states/eV/f.u.
Magnetic moment   0.0000 μB per atom

Lattice parameters (Å, degrees): 11.632 7.265 6.353 90.00 90.00 90.00
Space group Pmn2_1 (No. 31)
Asymmetric unit:
Pm (0.000, 0.126, 0.000) x2
Pm (0.242, 0.122, 0.343) x4
Nd (0.000, 0.383, 0.532) x2
Nd (0.000, 0.629, 0.002) x2
Nd (0.240, 0.632, 0.349) x4
Mg (0.000, 0.883, 0.512) x2

First-principles (PBE) data for Pm4Nd5Mg after structural relaxation, as listed in Alexandria via LeMat-Bulk.

Summary:
DOS at the Fermi energy   11.52 states/eV/f.u.
Magnetic moment   0.0000 μB per atom

Lattice parameters (Å, degrees): 3.689 3.689 24.884 90.00 90.00 90.00
Space group P4/mmm (No. 123)
Asymmetric unit:
Pm (0.000, 0.000, 0.103) x2
Pm (0.000, 0.000, 0.311) x2
Nd (0.500, 0.500, 0.000) x1
Nd (0.500, 0.500, 0.207) x2
Nd (0.500, 0.500, 0.412) x2
Mg (0.000, 0.000, 0.500) x1

First-principles (PBE) data for Pm6NdMg after structural relaxation, as listed in Alexandria via LeMat-Bulk.

Summary:
DOS at the Fermi energy   11.14 states/eV/f.u.
Magnetic moment   0.0000 μB per atom

Lattice parameters (Å, degrees): 5.086 5.086 10.227 90.00 90.00 90.00
Space group P4/mmm (No. 123)
Asymmetric unit:
Pm (0.000, 0.000, 0.000) x1
Pm (0.000, 0.000, 0.500) x1
Pm (0.000, 0.500, 0.246) x4
Nd (0.500, 0.500, 0.500) x1
Mg (0.500, 0.500, 0.000) x1

First-principles (PBE) data for Pm8Nd3Mg2 after structural relaxation, as listed in Alexandria via LeMat-Bulk.

Summary:
DOS at the Fermi energy   19.49 states/eV/f.u.
Magnetic moment   0.0000 μB per atom

Lattice parameters (Å, degrees): 6.445 7.409 9.690 90.86 91.23 109.29
Space group P-1 (No. 2)
Asymmetric unit:
Pm (0.037, 0.376, 0.352) x2
Pm (0.041, 0.871, 0.323) x2
Pm (0.404, 0.974, 0.823) x2
Pm (0.438, 0.476, 0.809) x2
Nd (0.000, 0.500, 0.000) x1
Nd (0.488, 0.242, 0.501) x2
Mg (0.172, 0.155, 0.062) x2

| no. | raw total energy (eV/atom) | DFT formation energy (eV/atom) |
| --- | --- | --- |
| 1 | -4.22 | 0.0079 |
| 2 | -4.22 | 0.2522 |
| 3 | -4.47 | 0.0330 |
| 4 | -3.95 | 0.0224 |
| 5 | -3.06 | 0.1179 |
| 6 | -3.86 | 0.3745 |
| 7 | -4.12 | 0.3599 |
| 8 | -2.75 | -0.0992 |
| 9 | -4.36 | 0.0093 |
| 10 | -4.45 | -0.0100 |
| 11 | -4.35 | 0.0118 |
| 12 | -4.20 | 0.0679 |